1:
Material: InGa4Tc
Method: DFT, PBE
State: relaxed

```
InGa4Tc
1.0
-4.8732 2.0327 3.9594
-1.8467 -6.2659 0.9409
-0.0766 -2.4480 6.6534
In Ga Tc
2 8 2
direct
0.5000 0.5000 0.0000 In
0.0000 0.0000 0.0000 In
0.9872 0.1924 0.3208 Ga
0.1919 0.6919 0.3216 Ga
0.4863 0.9863 0.3220 Ga
0.5137 0.0137 0.6780 Ga
0.8081 0.3081 0.6784 Ga
0.0128 0.8076 0.6792 Ga
0.3076 0.5128 0.6792 Ga
0.6924 0.4872 0.3208 Ga
0.7498 0.7502 0.5000 Tc
0.2502 0.2498 0.5000 Tc
```

2:
Material: InGa4Tc
Method: DFT, PBE
State: relaxed

```
InGa4Tc
1.0
-2.0891 -4.7708 -3.0748
-1.0181 -3.8953 6.7357
-2.9165 6.4217 -1.2982
In Ga Tc
2 8 2
direct
0.6830 0.8169 0.6337 In
0.3170 0.1831 0.3663 In
0.1484 0.7140 0.4281 Ga
0.2781 0.1440 0.7313 Ga
0.0000 0.2473 0.0000 Ga
0.7219 0.4127 0.2687 Ga
0.8516 0.2860 0.5719 Ga
0.7219 0.8560 0.2687 Ga
0.0000 0.7527 0.0000 Ga
0.2781 0.5873 0.7313 Ga
0.2986 0.5356 0.0712 Tc
0.7014 0.4644 0.9288 Tc
```

The least stable of the structures above is 1, whereas 2 is the most stable.